1.
Computed, not measured: a relaxed SrBeRh2 crystal at the PBEsol level of DFT.

Unit cell a=5.055 b=5.055 c=5.055 alpha=134.58 beta=134.58 gamma=66.18
Fractional coordinates of all 4 atoms:
Sr: 0.000 0.000 0.000
Be: 0.750 0.250 0.500
Rh: 0.250 0.750 0.500
Rh: 0.500 0.500 0.000

SG = I-4m2
M_tot = 0.00 Bohr magnetons per cell
E_form = 0.371 eV/atom

=====

2.
Computed, not measured: a relaxed YMn3Br crystal at the PBEsol level of DFT.

Unit cell a=5.117 b=5.117 c=5.117 alpha=90.00 beta=90.00 gamma=90.00
Fractional coordinates of all 5 atoms:
Y: 0.000 0.000 0.000
Mn: 0.000 0.000 0.500
Mn: 0.000 0.500 0.000
Mn: 0.500 0.000 0.000
Br: 0.500 0.500 0.500

SG = Pm-3m
M_tot = 11.62 Bohr magnetons per cell
Formation energy (no corrections) = 40.66 kcal/mol of atoms

=====

3.
Computed, not measured: a relaxed Pr2AlSi crystal at the PBEsol level of DFT.

Unit cell a=4.060 b=6.076 c=6.076 alpha=42.84 beta=90.00 gamma=90.00
Fractional coordinates of all 4 atoms:
Pr: 0.000 0.000 0.000
Pr: 0.500 0.287 0.287
Al: 0.500 0.579 0.579
Si: 0.000 0.714 0.714

SG = Amm2
M_tot = 0.00 Bohr magnetons per cell
Formation energy (no corrections) = -13.74 kcal/mol of atoms

=====

4.
Computed, not measured: a relaxed CrCuHg crystal at the PBEsol level of DFT.

Unit cell a=4.220 b=4.220 c=4.220 alpha=60.00 beta=60.00 gamma=60.00
Fractional coordinates of all 3 atoms:
Cr: 0.000 0.000 0.000
Cu: 0.250 0.250 0.250
Hg: 0.500 0.500 0.500

SG = F-43m
M_tot = 4.01 Bohr magnetons per cell
E_form = 0.609 eV/atom

=====

5.
Computed, not measured: a relaxed Ni3AgCl crystal at the PBEsol level of DFT.

Unit cell a=4.613 b=4.613 c=4.613 alpha=90.00 beta=90.00 gamma=90.00
Fractional coordinates of all 5 atoms:
Ni: 0.000 0.000 0.500
Ni: 0.000 0.500 0.000
Ni: 0.500 0.000 0.000
Ag: 0.000 0.000 0.000
Cl: 0.500 0.500 0.500

SG = Pm-3m
M_tot = 2.33 Bohr magnetons per cell
Formation energy (no corrections) = 34.61 kcal/mol of atoms

=====

6.
Computed, not measured: a relaxed Sr3CaRh crystal at the PBEsol level of DFT.

Unit cell a=7.876 b=7.876 c=8.634 alpha=122.93 beta=122.93 gamma=74.07
Fractional coordinates of all 10 atoms:
Sr: 0.051 0.051 0.353
Sr: 0.055 0.454 0.203
Sr: 0.454 0.055 0.203
Sr: 0.546 0.945 0.797
Sr: 0.945 0.546 0.797
Sr: 0.949 0.949 0.647
Ca: 0.452 0.452 0.768
Ca: 0.548 0.548 0.232
Rh: 0.256 0.256 0.871
Rh: 0.744 0.744 0.129

SG = C2/m
M_tot = 0.00 Bohr magnetons per cell
Energy relative to the lowest polymorph listed for this composition = 0.000 eV per atom
E_form = -0.155 eV/atom

=====

| no. | electronic total energy (eV per atom) |
| --- | --- |
| 1 | -5.159 |
| 2 | -5.832 |
| 3 | -5.648 |
| 4 | -4.438 |
| 5 | -3.258 |
| 6 | -3.313 |